[1]
Material: KGaHg6
Method: DFT, PBE
State: optimized geometry

Structure (extended XYZ):
```
8
Lattice="2.6590 1.5352 8.9669 -2.6590 1.5352 8.9669 0.0000 -3.0704 8.9669" Properties=species:S:1:pos:R:3 pbc="T T T"
K 0.0000 0.0000 0.0000
Ga 0.0000 0.0000 13.4503
Hg 0.0000 0.0000 3.6982
Hg 0.0000 0.0000 7.0229
Hg 0.0000 0.0000 10.5242
Hg 0.0000 0.0000 16.3764
Hg 0.0000 0.0000 19.8777
Hg 0.0000 0.0000 23.2024
```

Calculated values
* raw total energy: -0.030 Ha/atom
* formation enthalpy at 0 K: -67 kJ/mol of formula units



[2]
Material: Tl2InCl2
Method: DFT, PBE
State: optimized geometry

Structure (extended XYZ):
```
10
Lattice="9.0642 0.0000 0.0000 0.0000 9.0642 0.0000 0.0000 0.0000 3.7385" Properties=species:S:1:pos:R:3 pbc="T T T"
Tl 1.3801 3.1520 0.0000
Tl 3.1520 7.6841 0.0000
Tl 5.9122 1.3801 0.0000
Tl 7.6841 5.9122 0.0000
In 0.0000 0.0000 0.0000
In 4.5321 4.5321 0.0000
Cl 1.2952 5.8272 1.8692
Cl 3.2369 1.2952 1.8692
Cl 5.8272 7.7690 1.8692
Cl 7.7690 3.2369 1.8692
```

Calculated values
* raw total energy: -0.102 Ha/atom
* uncorrected formation energy: -546 meV per atom
* energy above the most stable polymorph in this dataset: 77 meV/atom



[3]
Material: ZnGe2F6
Method: DFT, PBE
State: optimized geometry

Structure (extended XYZ):
```
18
Lattice="5.5136 -6.4404 0.0000 5.5136 6.4404 0.0000 -2.5550 0.0000 5.2101" Properties=species:S:1:pos:R:3 pbc="T T T"
Zn 3.5973 5.5503 3.9076
Zn 4.8748 -5.5503 1.3025
Ge 1.2261 1.4870 3.8683
Ge 2.5036 -1.4870 1.2632
Ge 5.9685 1.4870 3.9469
Ge 7.2460 -1.4870 1.3418
F 2.1625 4.3439 3.2441
F -0.5847 0.6500 3.4730
F 0.6928 -0.6500 0.8680
F 5.0322 4.3439 4.5710
F 2.1436 0.0548 3.1656
F 3.4211 -0.0548 0.5605
F 5.0511 0.0548 4.6496
F 6.3286 -0.0548 2.0445
F 3.4400 -4.3439 0.6391
F 7.7794 0.6500 4.3421
F 9.0569 -0.6500 1.7371
F 6.3097 -4.3439 1.9660
```

Calculated values
* raw total energy: -0.167 Ha/atom
* uncorrected formation energy: -2137 meV per atom
* energy above the most stable polymorph in this dataset: 0 meV/atom



[4]
Material: In2AgBiH
Method: DFT, PBE
State: optimized geometry

Structure (extended XYZ):
```
5
Lattice="5.4131 0.0000 0.0000 0.0000 5.4131 0.0000 0.0000 0.0000 3.7977" Properties=species:S:1:pos:R:3 pbc="T T T"
In 0.0000 2.7065 0.0000
In 2.7065 0.0000 0.0000
Ag 0.0000 0.0000 1.8988
Bi 2.7065 2.7065 1.8988
H 0.0000 0.0000 0.0000
```

Calculated values
* raw total energy: -0.107 Ha/atom
* energy above the most stable polymorph in this dataset: 6 meV/atom



Q: raw total energy of number 1 (KGaHg6)?
A: -0.030 Ha/atom



Q: Among the records above, which one has the lowest raw total energy?
A: ZnGe2F6



Please write out number 1 again, unchanged.
Material: KGaHg6
Method: DFT, PBE
State: optimized geometry

Structure (extended XYZ):
```
8
Lattice="2.6590 1.5352 8.9669 -2.6590 1.5352 8.9669 0.0000 -3.0704 8.9669" Properties=species:S:1:pos:R:3 pbc="T T T"
K 0.0000 0.0000 0.0000
Ga 0.0000 0.0000 13.4503
Hg 0.0000 0.0000 3.6982
Hg 0.0000 0.0000 7.0229
Hg 0.0000 0.0000 10.5242
Hg 0.0000 0.0000 16.3764
Hg 0.0000 0.0000 19.8777
Hg 0.0000 0.0000 23.2024
```

Calculated values
* raw total energy: -0.030 Ha/atom
* formation enthalpy at 0 K: -67 kJ/mol of formula units



Q: The lowest raw total energy belongs to which entry?
A: ZnGe2F6